Version a
This record from the Alexandria database describes a relaxed structure of ScFeOs2. The functional is PBE.

a = 2.791 Å, b = 4.378 Å, c = 4.980 Å
α = 90.00°, β = 98.64°, γ = 90.00°
Positions (direct):
Sc: 0.000 0.000 0.000
Fe: 0.500 0.000 0.500
Os: 0.301 0.500 0.733
Os: 0.699 0.500 0.267

Properties
Space-group type ... P2/m (10)
Magnetization ... 2.9 μB per formula unit

***

Version b
This record from the Alexandria database describes a relaxed structure of ScFeOs2. The functional is PBE.

a = 5.739 Å, b = 5.739 Å, c = 5.739 Å
α = 100.07°, β = 100.07°, γ = 130.55°
Positions (direct):
Sc: 0.000 0.000 0.000
Sc: 0.750 0.250 0.500
Fe: 0.250 0.750 0.500
Fe: 0.500 0.500 0.000
Os: 0.190 0.625 0.065
Os: 0.375 0.440 0.565
Os: 0.560 0.125 0.935
Os: 0.875 0.810 0.435

Properties
Space-group type ... I-42d (122)
Magnetization ... 0.9 μB per formula unit

***

Verdict on stability: version a comes out on top.

***

Version a
This record from the Alexandria database describes a relaxed structure of ScFeOs2. The functional is PBE.

a = 3.011 Å, b = 4.378 Å, c = 4.507 Å
α = 90.00°, β = 90.00°, γ = 90.00°
Positions (direct):
Sc: 0.000 0.000 0.000
Fe: 0.500 0.000 0.500
Os: 0.000 0.500 0.500
Os: 0.500 0.500 0.000

Properties
Space-group type ... Pmmm (47)
Magnetization ... 2.6 μB per formula unit

***

Version b
This record from the Alexandria database describes a relaxed structure of ScFeOs2. The functional is PBE.

a = 5.112 Å, b = 5.112 Å, c = 4.505 Å
α = 110.21°, β = 110.21°, γ = 33.22°
Positions (direct):
Sc: 0.000 0.000 0.000
Fe: 0.762 0.762 0.187
Os: 0.234 0.234 0.644
Os: 0.496 0.496 0.512

Properties
Space-group type ... Cm (8)
Magnetization ... 2.5 μB per formula unit

***

Verdict on stability: version b comes out on top.